IrC2: relaxed, PBE-GGA.

Results
**Total energy**: -7.916 eV per atom
**Offset from the most stable computed form**: 597.0 meV/atom
**DFT formation energy**: 1.19 eV per atom
**Volume**: 134.8 Å³ per cell

a b c (Å): 7.2121 2.7516 6.8565
angles (deg): 90.00 97.89 90.00
Closest atoms and distances in Å follow each position.
Element x y z (fractional)
1 Ir 0.0690 0.0000 0.3199  6 C 2.05-2.25
2 Ir 0.4310 0.5000 0.6801  6 C 2.05-2.25
3 Ir 0.5690 0.5000 0.3199  6 C 2.05-2.25
4 Ir 0.9310 0.0000 0.6801  6 C 2.05-2.25
5 C 0.0188 0.5000 0.0964  1 C 1.31
6 C 0.2100 0.0000 0.6336  4 Ir 2.08-2.25
7 C 0.2900 0.5000 0.3664  4 Ir 2.08-2.25
8 C 0.4812 0.0000 0.9036  1 C 1.31
9 C 0.5188 0.0000 0.0964  1 C 1.31
10 C 0.7100 0.5000 0.6336  4 Ir 2.08-2.25
11 C 0.7900 0.0000 0.3664  4 Ir 2.08-2.25
12 C 0.9812 0.5000 0.9036  1 C 1.31